Record 1
Below is crystalline ScZnCuPb at its relaxed geometry, with properties calculated at the PBE level.

Geometry as CIF:
```
data_ScZnCuPb
_space_group_name_H-M_alt 'F -4 3 m'
_space_group_IT_number 216
_space_group_name_Hall 'F -4 2 3'
_cell_length_a 6.728
_cell_length_b 6.728
_cell_length_c 6.728
_cell_angle_alpha 90.00
_cell_angle_beta 90.00
_cell_angle_gamma 90.00
loop_
_atom_site_label
_atom_site_type_symbol
_atom_site_fract_x
_atom_site_fract_y
_atom_site_fract_z
_atom_site_occupancy
Sc1 Sc 0.000 0.000 0.000 1
Zn1 Zn 0.250 0.250 0.750 1
Cu1 Cu 0.000 0.000 0.500 1
Pb1 Pb 0.250 0.250 0.250 1
```

## Properties
The final energy comes out at -3.79 eV per atom. Its total moment is 0.00 μB per cell.

***

Record 2
Below is crystalline ScZnCuPb at its relaxed geometry, with properties calculated at the PBE level.

Geometry as CIF:
```
data_ScZnCuPb
_space_group_name_H-M_alt 'F -4 3 m'
_space_group_IT_number 216
_space_group_name_Hall 'F -4 2 3'
_cell_length_a 6.729
_cell_length_b 6.729
_cell_length_c 6.729
_cell_angle_alpha 90.00
_cell_angle_beta 90.00
_cell_angle_gamma 90.00
loop_
_atom_site_label
_atom_site_type_symbol
_atom_site_fract_x
_atom_site_fract_y
_atom_site_fract_z
_atom_site_occupancy
Sc1 Sc 0.000 0.000 0.000 1
Zn1 Zn 0.250 0.250 0.750 1
Cu1 Cu 0.250 0.250 0.250 1
Pb1 Pb 0.000 0.000 0.500 1
```

## Properties
The final energy comes out at -3.80 eV per atom. Its total moment is 0.00 μB per cell.

***

Record 3
Below is crystalline ZrScCuPb at its relaxed geometry, with properties calculated at the PBE level.

Geometry as CIF:
```
data_ZrScCuPb
_space_group_name_H-M_alt 'F -4 3 m'
_space_group_IT_number 216
_space_group_name_Hall 'F -4 2 3'
_cell_length_a 6.974
_cell_length_b 6.974
_cell_length_c 6.974
_cell_angle_alpha 90.00
_cell_angle_beta 90.00
_cell_angle_gamma 90.00
loop_
_atom_site_label
_atom_site_type_symbol
_atom_site_fract_x
_atom_site_fract_y
_atom_site_fract_z
_atom_site_occupancy
Zr1 Zr 0.000 0.000 0.000 1
Sc1 Sc 0.250 0.250 0.250 1
Cu1 Cu 0.250 0.250 0.750 1
Pb1 Pb 0.000 0.000 0.500 1
```

## Properties
The final energy comes out at -5.34 eV per atom. Its total moment is 11.69 μB per cell.